Entry 1:
Ta2Hg3SO4F10 | meta-GGA SCAN | PBEsol geometry

Summary:
The density of states at the Fermi level is 0.0 states/eV per cell. The magnetization is 0.000 μB per atom. For the density, the calculation gives 6.30 g cm⁻³. The calculation puts the formation energy from raw total energies at -2.414 eV/atom. As for the raw total energy: -911.81 eV/cell.

Unit cell a=9.0574 b=9.0574 c=10.2669 alpha=103.14 beta=103.14 gamma=119.00
Closest atoms and distances in Å follow each position.
Sites, in units of the cell vectors:
F 0.4800 0.1041 0.1344  1 Ta 1.89
F 0.9431 0.8229 0.3708  1 Ta 1.91
F 0.7132 0.0645 0.3174  1 Ta 1.90
F 0.8223 0.2021 0.1292  1 Ta 1.91
F 0.5957 0.7198 0.3656  1 Ta 1.89
F 0.6621 0.3100 0.8980  1 Ta 1.89
F 0.0143 0.5960 0.0934  1 Ta 1.92
F 0.4120 0.7641 0.1020  1 Ta 1.89
F 0.5026 0.9209 0.9066  1 Ta 1.92
F 0.0729 0.6931 0.8708  1 Ta 1.91
F 0.8460 0.7643 0.5934  1 Ta 1.92
F 0.6458 0.4971 0.1826  1 Ta 1.90
F 0.3145 0.4632 0.8174  1 Ta 1.90
F 0.7471 0.3958 0.6826  1 Ta 1.90
F 0.1709 0.2526 0.4066  1 Ta 1.92
F 0.4521 0.5723 0.6292  1 Ta 1.91
F 0.9698 0.3457 0.8656  1 Ta 1.89
F 0.3541 0.2300 0.6344  1 Ta 1.89
F 0.0141 0.1620 0.6020  1 Ta 1.89
F 0.5600 0.4121 0.3980  1 Ta 1.89
Hg 0.2282 0.9991 0.7991  1 O 2.28
Hg 0.2000 0.4291 0.2009  1 O 2.28
Hg 0.2491 0.9782 0.2991  1 O 2.28
Hg 0.2504 0.2504 0.0000  2 Hg 2.59
Hg 0.5004 0.0004 0.5000  2 Hg 2.59
Hg 0.6791 0.9500 0.7009  1 O 2.28
O 0.8514 0.9355 0.8914  1 S 1.46
O 0.1855 0.6014 0.3914  1 S 1.46
O 0.0440 0.9600 0.1086  1 S 1.46
O 0.1047 0.4789 0.5723  1 S 1.50
O 0.9066 0.5324 0.4277  1 S 1.50
O 0.7824 0.6566 0.9277  1 S 1.50
O 0.7289 0.8547 0.0723  1 S 1.50
O 0.2100 0.7940 0.6086  1 S 1.46
S 0.1055 0.6055 0.5000  4 O 1.46-1.50
S 0.8555 0.8555 0.0000  4 O 1.46-1.50
Ta 0.6047 0.9892 0.1129  5 F 1.89-1.92, 1 O 2.06
Ta 0.7417 0.6263 0.3871  5 F 1.89-1.92, 1 O 2.06
Ta 0.2392 0.3547 0.6129  5 F 1.89-1.92, 1 O 2.06
Ta 0.8763 0.4917 0.8871  5 F 1.89-1.92, 1 O 2.06

=====

Entry 2:
SrHgOF2 | meta-GGA SCAN | PBEsol geometry

Summary:
The density of states at the Fermi level is 2.5 states/eV per cell. The magnetization is 0.146 μB per atom. For the density, the calculation gives 5.82 g cm⁻³. The calculation puts the formation energy from raw total energies at -1.739 eV/atom. As for the raw total energy: -112.45 eV/cell.

Unit cell a=4.5298 b=4.5298 c=4.7612 alpha=90.00 beta=90.00 gamma=90.00
Closest atoms and distances in Å follow each position.
Sites, in units of the cell vectors:
O 0.0000 0.0000 0.5000  2 Sr 2.38
F 0.0000 0.5000 0.0000  2 Sr 2.26
F 0.5000 0.0000 0.0000  2 Sr 2.26
Sr 0.0000 0.0000 0.0000  4 F 2.26, 2 O 2.38
Hg 0.5000 0.5000 0.5000  4 O 3.20, 8 F 3.29

=====

Entry 3:
HgTe2O2F10 | meta-GGA SCAN | PBEsol geometry

Summary:
The density of states at the Fermi level is 0.0 states/eV per cell. The magnetization is 0.000 μB per atom. For the density, the calculation gives 4.59 g cm⁻³. The calculation puts the formation energy from raw total energies at -1.796 eV/atom. As for the raw total energy: -434.96 eV/cell.

Unit cell a=5.8311 b=8.9177 c=10.4748 alpha=115.19 beta=95.51 gamma=90.00
Closest atoms and distances in Å follow each position.
Sites, in units of the cell vectors:
O 0.5511 0.6621 0.1284  1 Te 1.88, 1 Hg 2.04
O 0.9489 0.5337 0.8716  1 Te 1.88, 1 Hg 2.04
O 0.0511 0.4663 0.1284  1 Te 1.88, 1 Hg 2.04
O 0.4489 0.3379 0.8716  1 Te 1.88, 1 Hg 2.04
F 0.5198 0.9667 0.1325  1 Te 1.87
F 0.8959 0.4274 0.3494  1 Te 1.86
F 0.9301 0.8496 0.1630  1 Te 1.88
F 0.5699 0.6866 0.8370  1 Te 1.88
F 0.2755 0.2829 0.3744  1 Te 1.85
F 0.3066 0.5757 0.3771  1 Te 1.86
F 0.9802 0.8341 0.8675  1 Te 1.87
F 0.7755 0.0915 0.3744  1 Te 1.85
F 0.2245 0.9085 0.6256  1 Te 1.85
F 0.1041 0.5726 0.6506  1 Te 1.86
F 0.4301 0.3134 0.1630  1 Te 1.88
F 0.0198 0.1659 0.1325  1 Te 1.87
F 0.6934 0.4243 0.6229  1 Te 1.86
F 0.7245 0.7171 0.6256  1 Te 1.85
F 0.4802 0.0333 0.8675  1 Te 1.87
F 0.8066 0.8014 0.3771  1 Te 1.86
F 0.6041 0.0780 0.6506  1 Te 1.86
F 0.0699 0.1504 0.8370  1 Te 1.88
F 0.3959 0.9220 0.3494  1 Te 1.86
F 0.1934 0.1986 0.6229  1 Te 1.86
Te 0.3410 0.1205 0.7464  5 F 1.85-1.88, 1 O 1.88
Te 0.6590 0.8795 0.2536  5 F 1.85-1.88, 1 O 1.88
Te 0.1590 0.3741 0.2536  5 F 1.85-1.88, 1 O 1.88
Te 0.8410 0.6259 0.7464  5 F 1.85-1.88, 1 O 1.88
Hg 0.2500 0.6198 0.0000  2 O 2.04
Hg 0.7500 0.3802 0.0000  2 O 2.04

=====

Entry 4:
TiHgOF2 | meta-GGA SCAN | PBEsol geometry

Summary:
The density of states at the Fermi level is 0.6 states/eV per cell. The magnetization is 0.406 μB per atom. For the density, the calculation gives 6.05 g cm⁻³. The calculation puts the formation energy from raw total energies at -0.792 eV/atom. As for the raw total energy: -101.47 eV/cell.

Unit cell a=4.1659 b=4.4634 c=4.4634 alpha=90.00 beta=90.00 gamma=90.00
Closest atoms and distances in Å follow each position.
Sites, in units of the cell vectors:
F 0.0000 0.0000 0.5000  2 Hg 2.23
F 0.0000 0.5000 0.0000  2 Hg 2.23
O 0.5000 0.0000 0.0000  2 Hg 2.08
Ti 0.5000 0.5000 0.5000  8 F 3.05, 4 O 3.16
Hg 0.0000 0.0000 0.0000  2 O 2.08, 4 F 2.23

=====

Entry 5:
YHgO2F | meta-GGA SCAN | PBEsol geometry

Summary:
The density of states at the Fermi level is 1.8 states/eV per cell. The magnetization is 0.051 μB per atom. For the density, the calculation gives 7.00 g cm⁻³. The calculation puts the formation energy from raw total energies at -2.065 eV/atom. As for the raw total energy: -122.34 eV/cell.

Unit cell a=4.2034 b=4.3845 c=4.3845 alpha=90.00 beta=90.00 gamma=90.00
Closest atoms and distances in Å follow each position.
Sites, in units of the cell vectors:
Hg 0.5000 0.5000 0.5000  8 O 3.04, 4 F 3.10
O 0.0000 0.5000 0.0000  2 Y 2.19
O 0.0000 0.0000 0.5000  2 Y 2.19
Y 0.0000 0.0000 0.0000  2 F 2.10, 4 O 2.19
F 0.5000 0.0000 0.0000  2 Y 2.10

=====

Entry 6:
Zn2Hg2OF6 | meta-GGA SCAN | PBEsol geometry

Summary:
The magnetization is 0.000 μB per atom. For the density, the calculation gives 7.74 g cm⁻³. The calculation puts the formation energy from raw total energies at -1.865 eV/atom. As for the raw total energy: -422.69 eV/cell.

Unit cell a=7.3780 b=7.3780 c=7.3780 alpha=60.00 beta=60.00 gamma=60.00
Closest atoms and distances in Å follow each position.
Sites, in units of the cell vectors:
Zn 0.6250 0.6250 0.1250  6 F 2.01
Zn 0.6250 0.1250 0.6250  6 F 2.01
Zn 0.6250 0.6250 0.6250  6 F 2.01
Zn 0.1250 0.6250 0.6250  6 F 2.01
F 0.9511 0.9511 0.5489  2 Zn 2.01
F 0.2989 0.7011 0.2989  2 Zn 2.01
F 0.5489 0.5489 0.9511  2 Zn 2.01
F 0.7011 0.7011 0.2989  2 Zn 2.01
F 0.5489 0.9511 0.5489  2 Zn 2.01
F 0.2989 0.2989 0.7011  2 Zn 2.01
F 0.7011 0.2989 0.2989  2 Zn 2.01
F 0.7011 0.2989 0.7011  2 Zn 2.01
F 0.9511 0.5489 0.5489  2 Zn 2.01
F 0.5489 0.9511 0.9511  2 Zn 2.01
F 0.9511 0.5489 0.9511  2 Zn 2.01
F 0.2989 0.7011 0.7011  2 Zn 2.01
O 0.0000 0.0000 0.0000  4 Hg 2.26
O 0.2500 0.2500 0.2500  4 Hg 2.26
Hg 0.1250 0.1250 0.1250  2 O 2.26
Hg 0.1250 0.6250 0.1250  2 O 2.26
Hg 0.6250 0.1250 0.1250  2 O 2.26
Hg 0.1250 0.1250 0.6250  2 O 2.26

=====

Entry 7:
Hg3OsF | meta-GGA SCAN | PBEsol geometry

Summary:
The density of states at the Fermi level is 3.7 states/eV per cell. The magnetization is 0.443 μB per atom. For the density, the calculation gives 9.73 g cm⁻³. The calculation puts the formation energy from raw total energies at 0.542 eV/atom. As for the raw total energy: -277.21 eV/cell.

Unit cell a=5.1732 b=5.1732 c=5.1732 alpha=90.00 beta=90.00 gamma=90.00
Closest atoms and distances in Å follow each position.
Sites, in units of the cell vectors:
Hg 0.5000 0.0000 0.0000  2 Os 2.59
Hg 0.0000 0.0000 0.5000  2 Os 2.59
Hg 0.0000 0.5000 0.0000  2 Os 2.59
F 0.5000 0.5000 0.5000  12 Hg 3.66
Os 0.0000 0.0000 0.0000  6 Hg 2.59

=====

Entry 8:
HgOs2SF | meta-GGA SCAN | PBEsol geometry

Summary:
The density of states at the Fermi level is 3.7 states/eV per cell. The magnetization is 0.354 μB per atom. For the density, the calculation gives 12.62 g cm⁻³. The calculation puts the formation energy from raw total energies at 1.741 eV/atom. As for the raw total energy: -216.39 eV/cell.

Unit cell a=4.0959 b=4.0959 c=4.9577 alpha=90.00 beta=90.00 gamma=90.00
Closest atoms and distances in Å follow each position.
Sites, in units of the cell vectors:
Hg 0.0000 0.0000 0.5000  2 F 2.48
Os 0.0000 0.5000 0.0000  2 F 2.05
Os 0.5000 0.0000 0.0000  2 F 2.05
F 0.0000 0.0000 0.0000  4 Os 2.05
S 0.5000 0.5000 0.5000  4 Hg 2.90, 8 Os 3.22

=====

Entry 9:
HgPF3 | meta-GGA SCAN | PBEsol geometry

Summary:
The density of states at the Fermi level is 6.6 states/eV per cell. The magnetization is 0.461 μB per atom. For the density, the calculation gives 5.45 g cm⁻³. The calculation puts the formation energy from raw total energies at -0.399 eV/atom. As for the raw total energy: -91.18 eV/cell.

Unit cell a=4.4457 b=4.4457 c=4.4457 alpha=90.00 beta=90.00 gamma=90.00
Closest atoms and distances in Å follow each position.
Sites, in units of the cell vectors:
P 0.0000 0.0000 0.0000  12 F 3.14
Hg 0.5000 0.5000 0.5000  6 F 2.22
F 0.0000 0.5000 0.5000  2 Hg 2.22
F 0.5000 0.0000 0.5000  2 Hg 2.22
F 0.5000 0.5000 0.0000  2 Hg 2.22

=====

Entry 10:
HgPdF4 | meta-GGA SCAN | PBEsol geometry

Summary:
The magnetization is 0.333 μB per atom. For the density, the calculation gives 7.68 g cm⁻³. The calculation puts the formation energy from raw total energies at -1.413 eV/atom. As for the raw total energy: -247.15 eV/cell.

Unit cell a=5.4248 b=5.5725 c=5.4827 alpha=92.51 beta=90.00 gamma=90.00
Closest atoms and distances in Å follow each position.
Sites, in units of the cell vectors:
F 0.6649 0.3266 0.6375  1 Pd 2.14, 2 Hg 2.21-2.35
F 0.8087 0.8359 0.2969  2 Pd 2.17-2.19
F 0.1649 0.6734 0.8625  1 Pd 2.14, 2 Hg 2.21-2.35
F 0.3351 0.6734 0.3625  1 Pd 2.14, 2 Hg 2.21-2.35
F 0.1913 0.1641 0.7031  2 Pd 2.17-2.19
F 0.3087 0.1641 0.2031  2 Pd 2.17-2.19
F 0.8351 0.3266 0.1375  1 Pd 2.14, 2 Hg 2.21-2.35
F 0.6913 0.8359 0.7969  2 Pd 2.17-2.19
Pd 0.5000 0.0000 0.5000  6 F 2.14-2.19
Pd 0.0000 0.0000 0.0000  6 F 2.14-2.19
Hg 0.0000 0.5000 0.5000  6 F 2.21-2.45
Hg 0.5000 0.5000 0.0000  6 F 2.21-2.45

=====

Entry 11:
Hg3PdF | meta-GGA SCAN | PBEsol geometry

Summary:
The density of states at the Fermi level is 3.7 states/eV per cell. The magnetization is 0.000 μB per atom. For the density, the calculation gives 11.90 g cm⁻³. The calculation puts the formation energy from raw total energies at 0.182 eV/atom. As for the raw total energy: -239.90 eV/cell.

Unit cell a=4.6641 b=4.6641 c=4.6641 alpha=90.00 beta=90.00 gamma=90.00
Closest atoms and distances in Å follow each position.
Sites, in units of the cell vectors:
F 0.0000 0.0000 0.0000  6 Hg 2.33
Hg 0.0000 0.5000 0.0000  2 F 2.33
Hg 0.5000 0.0000 0.0000  2 F 2.33
Hg 0.0000 0.0000 0.5000  2 F 2.33
Pd 0.5000 0.5000 0.5000  12 Hg 3.30